# 1
Ce4Al7Ge6 | PBE | relaxed

DFT total energy in eV for the cell shown: -85.63
Space-group type: Im-3m
Energy of formation from the pure elements in eV/f.u.: -8.0

Lattice parameters (Å, degrees): 7.591 7.591 7.591 109.47 109.47 109.47
Last column: magnetic moment on the atom in μB.
Fractional coordinates of all 17 atoms:
1 Al 0.250 0.500 0.750  0.00
2 Al 0.000 0.000 0.000  0.00
3 Ce 0.500 0.000 0.000  0.13
4 Ce 0.500 0.500 0.500  0.13
5 Ge 0.696 0.696 0.000  0.00
6 Ce 0.000 0.500 0.000  0.13
7 Ge 0.696 0.000 0.696  0.00
8 Al 0.250 0.750 0.500  0.00
9 Al 0.500 0.250 0.750  0.00
10 Ge 0.000 0.696 0.696  0.00
11 Al 0.500 0.750 0.250  0.00
12 Al 0.750 0.250 0.500  0.00
13 Ge 0.304 0.304 0.000  0.00
14 Ge 0.000 0.304 0.304  0.00
15 Ce 0.000 0.000 0.500  0.13
16 Al 0.750 0.500 0.250  0.00
17 Ge 0.304 0.000 0.304  0.00

# 2
Ce2AlGe3 | PBE | relaxed

DFT total energy in eV for the cell shown: -65.68
Space-group type: Fmmm
Distance to the lowest polymorph of the same formula in eV/f.u.: 0.00
Energy of formation from the pure elements in eV/f.u.: -3.4

Lattice parameters (Å, degrees): 5.925 5.925 8.612 109.27 109.27 92.32
Last column: magnetic moment on the atom in μB.
Fractional coordinates of all 12 atoms:
1 Ce 0.243 0.243 0.000  0.61
2 Ge 0.831 0.337 0.168  0.01
3 Ge 0.663 0.169 0.832  0.01
4 Ce 0.757 0.757 0.000  0.61
5 Ge 0.828 0.828 0.656  0.01
6 Ce 0.750 0.250 0.500  0.58
7 Al 0.335 0.335 0.669  0.01
8 Ge 0.169 0.663 0.832  0.01
9 Ge 0.172 0.172 0.344  0.01
10 Ce 0.250 0.750 0.500  0.58
11 Al 0.665 0.665 0.331  0.01
12 Ge 0.337 0.831 0.168  0.01

# 3
Ce3AlGe2 | PBE | relaxed

DFT total energy in eV for the cell shown: -136.76
Space-group type: Pnma
Distance to the lowest polymorph of the same formula in eV/f.u.: 0.00
Energy of formation from the pure elements in eV/f.u.: -3.4

Lattice parameters (Å, degrees): 4.174 10.960 12.378 90.00 90.00 90.00
Last column: magnetic moment on the atom in μB.
Fractional coordinates of all 24 atoms:
1 Ce 0.250 0.408 0.043  0.75
2 Ce 0.750 0.592 0.957  0.75
3 Ce 0.250 0.767 0.713  0.74
4 Ce 0.750 0.233 0.287  0.74
5 Ge 0.250 0.703 0.475  -0.01
6 Ce 0.250 0.427 0.376  0.63
7 Ge 0.250 0.487 0.799  -0.02
8 Ge 0.750 0.513 0.201  -0.02
9 Al 0.250 0.137 0.126  0.00
10 Ce 0.750 0.573 0.624  0.63
11 Ge 0.750 0.203 0.025  -0.01
12 Ce 0.750 0.267 0.787  0.74
13 Ce 0.750 0.927 0.124  0.63
14 Ge 0.250 0.797 0.975  -0.01
15 Ce 0.250 0.092 0.543  0.75
16 Al 0.250 0.363 0.626  0.00
17 Ce 0.750 0.908 0.457  0.75
18 Ge 0.750 0.987 0.701  -0.02
19 Ce 0.250 0.073 0.876  0.63
20 Ge 0.250 0.013 0.299  -0.02
21 Ge 0.750 0.297 0.525  -0.01
22 Al 0.750 0.863 0.874  0.00
23 Al 0.750 0.637 0.374  0.00
24 Ce 0.250 0.733 0.213  0.74

# 4
Ce3AlGe4 | PBE | relaxed

DFT total energy in eV for the cell shown: -44.36
Space-group type: Immm
Energy of formation from the pure elements in eV/f.u.: -4.3

Lattice parameters (Å, degrees): 4.318 6.183 8.280 111.92 105.11 90.00
Last column: magnetic moment on the atom in μB.
Fractional coordinates of all 8 atoms:
1 Ce 0.187 0.187 0.374  0.40
2 Ge 0.626 0.832 0.252  -0.01
3 Ge 0.374 0.168 0.748  -0.01
4 Al 0.500 0.000 0.000  0.00
5 Ce 0.000 0.500 0.000  -0.40
6 Ge 0.374 0.581 0.748  -0.01
7 Ge 0.626 0.419 0.252  -0.01
8 Ce 0.813 0.813 0.626  0.40

# 5
Ce3Al2Ge4 | PBE | relaxed

DFT total energy in eV for the cell shown: -49.04
Space-group type: C2/m
Distance to the lowest polymorph of the same formula in eV/f.u.: 0.00
Energy of formation from the pure elements in eV/f.u.: -5.3

Lattice parameters (Å, degrees): 4.255 6.787 8.015 110.55 105.39 90.00
Last column: magnetic moment on the atom in μB.
Fractional coordinates of all 9 atoms:
1 Al 0.667 0.978 0.335  0.01
2 Ge 0.210 0.212 0.420  -0.01
3 Ce 0.000 0.000 0.000  0.64
4 Al 0.333 0.022 0.665  0.01
5 Ce 0.864 0.416 0.727  0.83
6 Ce 0.136 0.584 0.273  0.83
7 Ge 0.790 0.788 0.580  -0.01
8 Ge 0.499 0.309 0.998  -0.01
9 Ge 0.501 0.691 0.002  -0.01

# 6
Ce3Al3Ge2 | PBE | relaxed

DFT total energy in eV for the cell shown: -41.00
Space-group type: C2/m
Energy of formation from the pure elements in eV/f.u.: -2.7

Lattice parameters (Å, degrees): 4.412 5.329 8.456 105.94 105.12 90.00
Last column: magnetic moment on the atom in μB.
Fractional coordinates of all 8 atoms:
1 Ge 0.773 0.840 0.545  -0.01
2 Al 0.360 0.935 0.720  -0.01
3 Ce 0.000 0.000 0.000  0.81
4 Ge 0.227 0.160 0.455  -0.01
5 Ce 0.147 0.573 0.294  0.64
6 Al 0.640 0.065 0.280  -0.01
7 Al 0.500 0.500 0.000  -0.01
8 Ce 0.853 0.427 0.706  0.64

# 7
Ce2AlGe | PBE | relaxed

DFT total energy in eV for the cell shown: -44.49
Space-group type: Imma
Energy of formation from the pure elements in eV/f.u.: -2.0

Lattice parameters (Å, degrees): 6.366 6.288 6.288 63.66 59.59 59.59
Last column: magnetic moment on the atom in μB.
Fractional coordinates of all 8 atoms:
1 Ce 0.220 0.280 0.780  0.13
2 Ge 0.750 0.203 0.297  -0.01
3 Ge 0.250 0.797 0.703  -0.01
4 Ce 0.720 0.280 0.780  0.13
5 Al 0.750 0.801 0.699  0.00
6 Ce 0.280 0.720 0.220  0.13
7 Ce 0.780 0.720 0.220  0.13
8 Al 0.250 0.199 0.301  0.00

# 8
Ce5Al2Ge5 | PBE | relaxed

DFT total energy in eV for the cell shown: -66.66
Space-group type: C2/m
Distance to the lowest polymorph of the same formula in eV/f.u.: 1.09
Energy of formation from the pure elements in eV/f.u.: -6.4

Lattice parameters (Å, degrees): 4.178 7.315 11.369 118.61 90.00 106.59
Last column: magnetic moment on the atom in μB.
Fractional coordinates of all 12 atoms:
1 Ge 0.000 0.000 0.000  -0.01
2 Al 0.068 0.137 0.779  0.00
3 Al 0.932 0.863 0.221  0.00
4 Ce 0.500 0.000 0.500  0.25
5 Ce 0.679 0.359 0.293  0.68
6 Ge 0.882 0.764 0.567  -0.02
7 Ce 0.340 0.679 0.972  0.55
8 Ge 0.118 0.236 0.433  -0.02
9 Ge 0.312 0.624 0.220  -0.02
10 Ge 0.688 0.376 0.780  -0.02
11 Ce 0.660 0.321 0.028  0.55
12 Ce 0.321 0.641 0.707  0.68